Here is a crystal of TcPdSe2 relaxed with PBEsol from Alexandria. Energies are from SCAN.

It has space group I-42d (No. 122), with a = 5.7040 Å, b = 5.7040 Å, c = 10.4964 Å, α = 90.00°, β = 90.00° and γ = 90.00°. Symmetry generates all atoms from Tc at (0.0000, 0.0000, 0.0000), Pd at (0.0000, 0.0000, 0.5000) and Se at (0.2338, 0.2500, 0.1250).

The calculation puts the spin magnetization at 0.000 μB per formula unit. As for the raw formation energy: -0.0332 eV per atom.

***

Here is a crystal of NiIrPt relaxed with PBEsol from Alexandria. Energies are from SCAN.

It has space group F-43m (No. 216), with a = 5.6210 Å, b = 5.6210 Å, c = 5.6210 Å, α = 90.00°, β = 90.00° and γ = 90.00°. Symmetry generates all atoms from Ni at (0.0000, 0.0000, 0.0000), Ir at (0.2500, 0.2500, 0.2500) and Pt at (0.2500, 0.2500, 0.7500).

The calculation puts the spin magnetization at 1.408 μB per formula unit. The formation energy is 0.35 eV/atom.

***

Here is a crystal of KInRu relaxed with PBEsol from Alexandria. Energies are from SCAN.

It has space group P3m1 (No. 156), with a = 3.0436 Å, b = 3.0436 Å, c = 7.8832 Å, α = 90.00°, β = 90.00° and γ = 120.00°. Symmetry generates all atoms from K at (0.0000, 0.0000, 0.0000), In at (0.6667, 0.3333, 0.3924) and Ru at (0.3333, 0.6667, 0.6595).

The calculation puts the spin magnetization at 0.402 μB per formula unit. The formation energy is 0.70 eV/atom.

***

Here is a crystal of IrNCl2 relaxed with PBEsol from Alexandria. Energies are from SCAN.

It has space group R-3m (No. 166, hexagonal axes), with a = 2.9252 Å, b = 2.9252 Å, c = 29.3333 Å, α = 90.00°, β = 90.00° and γ = 120.00°. Symmetry generates all atoms from Ir at (0.0000, 0.0000, 0.0000), N at (0.0000, 0.0000, 0.5000) and Cl at (0.0000, 0.0000, 0.0748).

The calculation puts the spin magnetization at 2.980 μB per formula unit. As for the raw formation energy: 1.2606 eV per atom.

***

Here is a crystal of Sr5Tl relaxed with PBEsol from Alexandria. Energies are from SCAN.

It has space group C2/m (No. 12), with a = 14.2376 Å, b = 4.1373 Å, c = 9.9294 Å, α = 90.00°, β = 112.25° and γ = 90.00°. Symmetry generates all atoms from Sr at (0.0000, 0.0000, 0.0000), Sr at (0.1326, 0.5000, 0.3682), Sr at (0.1670, 0.5000, 0.7853) and Tl at (0.0000, 0.0000, 0.5000).

The calculation puts the spin magnetization at 0.116 μB per formula unit. The formation energy is -0.20 eV/atom.

***

Here is a crystal of AuSeIN2 relaxed with PBEsol from Alexandria. Energies are from SCAN.

It has space group P4/mmm (No. 123), with a = 3.8681 Å, b = 3.8681 Å, c = 6.0516 Å, α = 90.00°, β = 90.00° and γ = 90.00°. Symmetry generates all atoms from Au at (0.0000, 0.0000, 0.0000), Se at (0.5000, 0.5000, 0.0000), I at (0.5000, 0.5000, 0.5000) and N at (0.0000, 0.5000, 0.5000).

The calculation puts the spin magnetization at 0.000 μB per formula unit. As for the raw formation energy: 1.8034 eV per atom.